A geometry-optimized BaTmMn2O8 structure. Source: Alexandria, functional PBE+U.

a = 5.632 Å, b = 5.632 Å, c = 7.640 Å
α = 90.00°, β = 90.00°, γ = 120.00°
Each line ends with the local moment (μB).
Sites, in units of the cell vectors:
1 Tm 0.000 0.000 0.500  0.02
2 O 0.164 0.827 0.692  -0.05
3 Mn 0.667 0.333 0.237  1.69
4 Mn 0.333 0.667 0.763  1.69
5 O 0.664 0.836 0.692  -0.05
6 O 0.827 0.664 0.308  -0.05
7 O 0.336 0.164 0.308  -0.05
8 O 0.667 0.333 0.020  -0.08
9 O 0.333 0.667 0.980  -0.08
10 O 0.173 0.336 0.692  -0.05
11 O 0.836 0.173 0.308  -0.05
12 Ba 0.000 0.000 0.000  0.01

Values from the calculation:
energy: -82.494 eV/cell